PmNd3Sm6Y2 | GGA-PBE | relaxed

Output
* DFT formation energy: 0.014 eV per atom
* total moment: 0.000 μB per atom
* calculated density: 6.7 g/cm³
* Fermi-level density of states: 1.43 states/eV/atom

Unit cell a=6.299 b=10.909 c=12.058 alpha=90.00 beta=100.03 gamma=90.00
Space group C2/m (No. 12)
Asymmetric unit:
1 Pm 0.000 0.000 0.000 [2 per cell]
2 Nd 0.000 0.167 0.500 [4 per cell]
3 Nd 0.000 0.500 0.500 [2 per cell]
4 Sm 0.249 0.167 0.248 [8 per cell]
5 Sm 0.249 0.500 0.248 [4 per cell]
6 Y 0.000 0.333 0.000 [4 per cell]